Entry 1:
Here is an optimized crystal structure of KCaIr2Pd from the Alexandria database. Energies are from PBE.

The total energy is -4.251 eV/atom. The formation energy is 91.8 kJ/mol of atoms. The value obtained for the total magnetic moment is 1.7 μB/f.u.

Cell: 4.9557 4.9557 5.2244 Å, 90.00 90.00 90.00°
Last column: nearest neighbours and their distance in Å.
Fractional positions:
Ir (0.5000, 0.0000, 0.0000)  2 Pd 2.48
Ir (0.0000, 0.5000, 0.0000)  2 Pd 2.48
Ca (0.5000, 0.5000, 0.5000)  4 K 3.50, 8 Ir 3.60
Pd (0.0000, 0.0000, 0.0000)  4 Ir 2.48, 2 K 2.61
K (0.0000, 0.0000, 0.5000)  2 Pd 2.61


Entry 2:
Here is an optimized crystal structure of KCa2ScIr from the Alexandria database. Energies are from PBE.

The total energy is -4.214 eV/atom. The formation energy is -15.0 kJ/mol of atoms. The value obtained for the total magnetic moment is 0.0 μB/f.u.

Cell: 5.7786 5.7786 5.0905 Å, 90.00 90.00 90.00°
Last column: nearest neighbours and their distance in Å.
Fractional positions:
Ca (0.0000, 0.5000, 0.0000)  2 Ir 2.89
Ca (0.5000, 0.0000, 0.0000)  2 Ir 2.89
Ir (0.0000, 0.0000, 0.0000)  2 Sc 2.55
K (0.5000, 0.5000, 0.5000)  8 Ca 3.85, 4 Sc 4.09
Sc (0.0000, 0.0000, 0.5000)  2 Ir 2.55


Entry 3:
Here is an optimized crystal structure of KCa2SiIr from the Alexandria database. Energies are from PBE.

The total energy is -4.123 eV/atom. The value obtained for the total magnetic moment is 0.3 μB/f.u.

Cell: 5.6579 5.6579 4.6827 Å, 90.00 90.00 90.00°
Last column: nearest neighbours and their distance in Å.
Fractional positions:
Ca (0.0000, 0.5000, 0.0000)  2 Ir 2.83
Ca (0.5000, 0.0000, 0.0000)  2 Ir 2.83
Si (0.0000, 0.0000, 0.5000)  2 Ir 2.34
K (0.5000, 0.5000, 0.5000)  8 Ca 3.67, 4 Si 4.00
Ir (0.0000, 0.0000, 0.0000)  2 Si 2.34


Entry 4:
Here is an optimized crystal structure of KCa2SnIr from the Alexandria database. Energies are from PBE.

The total energy is -3.876 eV/atom. The formation energy is -27.4 kJ/mol of atoms. The value obtained for the total magnetic moment is 0.0 μB/f.u.

Cell: 5.6518 5.6518 5.1829 Å, 90.00 90.00 90.00°
Last column: nearest neighbours and their distance in Å.
Fractional positions:
Sn (0.0000, 0.0000, 0.5000)  2 Ir 2.59
Ca (0.5000, 0.0000, 0.0000)  2 Ir 2.83
Ca (0.0000, 0.5000, 0.0000)  2 Ir 2.83
Ir (0.0000, 0.0000, 0.0000)  2 Sn 2.59, 4 Ca 2.83
K (0.5000, 0.5000, 0.5000)  8 Ca 3.83, 4 Sn 4.00


Entry 5:
Here is an optimized crystal structure of KSrCa2Ir from the Alexandria database. Energies are from PBE.

The total energy is -3.257 eV/atom. The formation energy is -12.3 kJ/mol of atoms. The value obtained for the total magnetic moment is 0.0 μB/f.u.

Cell: 5.7210 5.7210 6.0028 Å, 90.00 90.00 90.00°
Last column: nearest neighbours and their distance in Å.
Fractional positions:
Ca (0.5000, 0.0000, 0.0000)  2 Ir 2.86
Ca (0.0000, 0.5000, 0.0000)  2 Ir 2.86
K (0.5000, 0.5000, 0.5000)  4 Sr 4.05, 8 Ca 4.15
Ir (0.0000, 0.0000, 0.0000)  4 Ca 2.86, 2 Sr 3.00
Sr (0.0000, 0.0000, 0.5000)  2 Ir 3.00


Entry 6:
Here is an optimized crystal structure of KCaTc2Ir from the Alexandria database. Energies are from PBE.

The total energy is -4.278 eV/atom. The formation energy is 218.1 kJ/mol of atoms. The value obtained for the total magnetic moment is 6.7 μB/f.u.

Cell: 5.2093 5.0719 5.2093 Å, 90.00 90.00 90.00°
Last column: nearest neighbours and their distance in Å.
Fractional positions:
Tc (0.5000, 0.0000, 0.0000)  2 Ca 2.60
Tc (0.0000, 0.0000, 0.5000)  2 Ca 2.60
Ir (0.0000, 0.5000, 0.0000)  2 Ca 2.54
K (0.5000, 0.5000, 0.5000)  8 Tc 3.64, 4 Ir 3.68
Ca (0.0000, 0.0000, 0.0000)  2 Ir 2.54, 4 Tc 2.60


Entry 7:
Here is an optimized crystal structure of KCaTl2Ir from the Alexandria database. Energies are from PBE.

The total energy is -3.433 eV/atom. The formation energy is -9.1 kJ/mol of atoms. The value obtained for the total magnetic moment is 0.0 μB/f.u.

Cell: 5.3964 5.3964 5.4574 Å, 90.00 90.00 90.00°
Last column: nearest neighbours and their distance in Å.
Fractional positions:
K (0.5000, 0.5000, 0.5000)  4 Ca 3.82, 8 Tl 3.84
Tl (0.5000, 0.0000, 0.0000)  2 Ir 2.70
Tl (0.0000, 0.5000, 0.0000)  2 Ir 2.70
Ir (0.0000, 0.0000, 0.0000)  4 Tl 2.70, 2 Ca 2.73
Ca (0.0000, 0.0000, 0.5000)  2 Ir 2.73


Entry 8:
Here is an optimized crystal structure of KCa2YIr from the Alexandria database. Energies are from PBE.

The total energy is -4.264 eV/atom. The formation energy is -17.2 kJ/mol of atoms. The value obtained for the total magnetic moment is 0.0 μB/f.u.

Cell: 5.7867 5.7867 5.4172 Å, 90.00 90.00 90.00°
Last column: nearest neighbours and their distance in Å.
Fractional positions:
Ir (0.0000, 0.0000, 0.0000)  2 Y 2.71, 4 Ca 2.89
K (0.5000, 0.5000, 0.5000)  8 Ca 3.96, 4 Y 4.09
Ca (0.5000, 0.0000, 0.0000)  2 Ir 2.89
Ca (0.0000, 0.5000, 0.0000)  2 Ir 2.89
Y (0.0000, 0.0000, 0.5000)  2 Ir 2.71


Entry 9:
Here is an optimized crystal structure of KCaY2Ir from the Alexandria database. Energies are from PBE.

The total energy is -5.172 eV/atom. The formation energy is -18.8 kJ/mol of atoms. The value obtained for the total magnetic moment is 0.0 μB/f.u.

Cell: 5.4874 5.4874 5.8643 Å, 90.00 90.00 90.00°
Last column: nearest neighbours and their distance in Å.
Fractional positions:
Ca (0.0000, 0.0000, 0.5000)  2 Ir 2.93
K (0.5000, 0.5000, 0.5000)  4 Ca 3.88, 8 Y 4.02
Y (0.5000, 0.0000, 0.0000)  2 Ir 2.74
Y (0.0000, 0.5000, 0.0000)  2 Ir 2.74
Ir (0.0000, 0.0000, 0.0000)  4 Y 2.74, 2 Ca 2.93


Entry 10:
Here is an optimized crystal structure of KCaZn2Ir from the Alexandria database. Energies are from PBE.

The total energy is -2.999 eV/atom. The formation energy is -9.4 kJ/mol of atoms. The value obtained for the total magnetic moment is 0.0 μB/f.u.

Cell: 5.0458 5.0458 5.2835 Å, 90.00 90.00 90.00°
Last column: nearest neighbours and their distance in Å.
Fractional positions:
Ca (0.0000, 0.0000, 0.5000)  2 Ir 2.64
Zn (0.0000, 0.5000, 0.0000)  2 Ir 2.52
Zn (0.5000, 0.0000, 0.0000)  2 Ir 2.52
K (0.5000, 0.5000, 0.5000)  4 Ca 3.57, 8 Zn 3.65
Ir (0.0000, 0.0000, 0.0000)  4 Zn 2.52, 2 Ca 2.64


Entry 11:
Here is an optimized crystal structure of Ca2LaIr from the Alexandria database. Energies are from PBE.

The calculation puts the energy above the most stable polymorph in this dataset at 335 meV per atom. The total energy is -4.530 eV/atom. The formation energy is -7.9 kJ/mol of atoms. The value obtained for the total magnetic moment is 0.0 μB/f.u.

Cell: 3.4658 3.4659 9.8483 Å, 90.00 90.00 90.14°
Last column: nearest neighbours and their distance in Å.
Fractional positions:
Ir (0.5000, 0.5000, 0.2500)  8 Ca 2.96
Ca (0.0000, 0.0000, 0.4181)  4 Ir 2.96
Ca (0.0000, 0.0000, 0.0819)  4 Ir 2.96
La (0.5000, 0.5000, 0.7500)  4 La 3.47


Entry 12:
Here is an optimized crystal structure of Ca3LaIr8 from the Alexandria database. Energies are from PBE.

The total energy is -7.352 eV/atom. The formation energy is -51.5 kJ/mol of atoms. The value obtained for the total magnetic moment is 0.0 μB/f.u.

Cell: 5.3817 5.3817 8.8264 Å, 90.00 90.00 120.00°
Last column: nearest neighbours and their distance in Å.
Fractional positions:
Ir (0.5038, 0.0076, 0.7520)  6 Ir 2.63-2.75
Ir (0.9924, 0.4962, 0.7520)  6 Ir 2.63-2.75
Ir (0.1636, 0.3272, 0.2482)  6 Ir 2.64-2.74
Ir (0.5038, 0.4962, 0.7520)  6 Ir 2.63-2.75
Ir (0.3333, 0.6667, 0.9992)  6 Ir 2.70-2.71
Ir (0.3333, 0.6667, 0.4977)  6 Ir 2.71-2.75
Ir (0.1636, 0.8364, 0.2482)  6 Ir 2.64-2.74
Ir (0.6728, 0.8364, 0.2482)  6 Ir 2.64-2.74
Ca (0.6667, 0.3333, 0.0673)  12 Ir 3.13-3.17, 4 Ca 3.17-3.31
Ca (0.0000, 0.0000, 0.9384)  12 Ir 3.13-3.15, 1 La 3.25, 3 Ca 3.31
Ca (0.6667, 0.3333, 0.4264)  12 Ir 3.12-3.25, 1 Ca 3.17, 3 La 3.36
La (0.0000, 0.0000, 0.5706)  12 Ir 3.13-3.23, 4 Ca 3.25-3.36